VASP calculation (GGA-PBE) on a relaxed structure of Sr3Tl5Cd.

Summary:
* distance to the lowest polymorph of the same formula: 37 meV/atom
* formation energy: -153 meV per atom

Cell lengths 9.704, 9.704, 6.758 Å; angles 90.00, 90.00, 90.00 degrees
Space group P4/mbm (No. 127)
Unique sites:
Sr (0.000, 0.000, 0.000) (multiplicity 2)
Sr (0.128, 0.372, 0.500) (multiplicity 4)
Tl (0.000, 0.000, 0.500) (multiplicity 2)
Tl (0.184, 0.684, 0.231) (multiplicity 8)
Cd (0.000, 0.500, 0.000) (multiplicity 2)